No. 1
TaP2Os | PBE | optimized geometry

The structure in POSCAR format:
```
TaP2Os
1.0
3.027 0.000 0.000
0.000 4.995 0.000
0.000 0.000 7.952
Ta P Os
2 4 2
Direct
0.000 0.000 0.000 Ta
0.500 0.500 0.500 Ta
0.000 0.500 0.233 P
0.000 0.500 0.767 P
0.500 0.000 0.267 P
0.500 0.000 0.733 P
0.000 0.000 0.500 Os
0.500 0.500 0.000 Os
```

- DFT formation energy: 0.1692 eV per atom
- Space-group type: Immm, No. 71
- Spin magnetization: 0.000 μB per atom
- V: 120.2 Å³ per cell
- ΔE to the lowest computed polymorph: 11.219 kcal/mol of atoms
- E: -8.31 eV/atom
- DOS(E_F): 5.4 states/eV/cell

---

No. 2
MnAlCl2 | PBE | optimized geometry

The structure in POSCAR format:
```
MnAlCl2
1.0
3.125 0.000 0.000
0.000 3.125 0.000
0.000 0.000 8.432
Mn Al Cl
1 1 2
Direct
0.000 0.000 0.000 Mn
0.500 0.500 0.203 Al
0.000 0.000 0.392 Cl
0.500 0.500 0.832 Cl
```

- Space-group type: P4mm, No. 99
- Spin magnetization: 0.971 μB per atom
- Formation energy from raw total energies: -1.75 eV per formula unit
- V: 82.4 Å³ per cell
- ΔE to the lowest computed polymorph: 4.563 kcal/mol of atoms
- E: -4.59 eV/atom
- DOS(E_F): 0.9 states/eV/cell

---

No. 3
LiSnN2 | PBE | optimized geometry

The structure in POSCAR format:
```
LiSnN2
1.0
4.791 0.000 0.000
0.000 4.791 0.000
0.000 0.000 9.817
Li Sn N
4 4 8
Direct
0.000 0.000 0.000 Li
0.000 0.500 0.250 Li
0.500 0.000 0.750 Li
0.500 0.500 0.500 Li
0.000 0.000 0.500 Sn
0.000 0.500 0.750 Sn
0.500 0.000 0.250 Sn
0.500 0.500 0.000 Sn
0.246 0.250 0.625 N
0.250 0.746 0.875 N
0.250 0.754 0.375 N
0.254 0.250 0.125 N
0.746 0.750 0.125 N
0.750 0.246 0.375 N
0.750 0.254 0.875 N
0.754 0.750 0.625 N
```

- Space-group type: I-42d, No. 122
- Spin magnetization: 0.250 μB per atom
- Formation energy from raw total energies: 1.16 eV per formula unit
- V: 225.3 Å³ per cell
- E: -5.35 eV/atom
- DOS(E_F): 8.5 states/eV/cell

---

No. 4
Ca2CdHg2 | PBE | optimized geometry

The structure in POSCAR format:
```
Ca2CdHg2
1.0
4.234 0.000 0.000
0.000 4.234 0.000
0.000 0.000 16.972
Ca Cd Hg
4 2 4
Direct
0.000 0.000 0.104 Ca
0.000 0.000 0.896 Ca
0.500 0.500 0.396 Ca
0.500 0.500 0.604 Ca
0.000 0.000 0.500 Cd
0.500 0.500 0.000 Cd
0.000 0.500 0.250 Hg
0.000 0.500 0.750 Hg
0.500 0.000 0.250 Hg
0.500 0.000 0.750 Hg
```

- DFT formation energy: -0.2623 eV per atom
- Space-group type: I4/mmm, No. 139
- Spin magnetization: 0.000 μB per atom
- V: 304.2 Å³ per cell
- ΔE to the lowest computed polymorph: 4.044 kcal/mol of atoms
- E: -1.37 eV/atom
- DOS(E_F): 3.7 states/eV/cell

---

No. 5
LiAsCl2 | PBE | optimized geometry

The structure in POSCAR format:
```
LiAsCl2
1.0
3.445 0.000 0.000
-1.723 2.984 0.000
0.000 0.000 23.656
Li As Cl
3 3 6
Direct
0.000 0.000 0.000 Li
0.333 0.667 0.667 Li
0.667 0.333 0.333 Li
0.000 0.000 0.500 As
0.333 0.667 0.167 As
0.667 0.333 0.833 As
0.000 0.000 0.395 Cl
0.000 0.000 0.605 Cl
0.333 0.667 0.062 Cl
0.333 0.667 0.271 Cl
0.667 0.333 0.729 Cl
0.667 0.333 0.938 Cl
```

- Space-group type: R-3m, No. 166
- Spin magnetization: 0.000 μB per atom
- Formation energy from raw total energies: -3.52 eV per formula unit
- V: 243.2 Å³ per cell
- ΔE to the lowest computed polymorph: 0.000 kcal/mol of atoms
- E: -3.44 eV/atom
- DOS(E_F): 1.9 states/eV/cell

---

No. 6
TbPm3YHo | PBE | optimized geometry

The structure in POSCAR format:
```
TbPm3YHo
1.0
8.054 0.000 0.000
0.000 5.105 0.000
-3.225 0.000 9.649
Tb Pm Y Ho
2 6 2 2
Direct
0.001 0.250 0.374 Tb
0.999 0.750 0.626 Tb
0.331 0.250 0.708 Pm
0.331 0.750 0.958 Pm
0.332 0.750 0.458 Pm
0.668 0.250 0.542 Pm
0.669 0.250 0.042 Pm
0.669 0.750 0.292 Pm
0.330 0.250 0.207 Y
0.670 0.750 0.793 Y
0.000 0.250 0.876 Ho
0.000 0.750 0.124 Ho
```

- DFT formation energy: 0.0185 eV per atom
- Space-group type: P2_1/m, No. 11
- Spin magnetization: 0.000 μB per atom
- V: 396.7 Å³ per cell
- E: -4.97 eV/atom
- DOS(E_F): 16.7 states/eV/cell

---

No. 7
AcIn4IrPd2 | PBE | optimized geometry

The structure in POSCAR format:
```
AcIn4IrPd2
1.0
2.303 1.329 9.827
-2.303 1.329 9.827
0.000 -2.659 9.827
Ac In Ir Pd
1 4 1 2
Direct
0.000 0.000 0.000 Ac
0.135 0.135 0.135 In
0.404 0.404 0.404 In
0.596 0.596 0.596 In
0.865 0.865 0.865 In
0.500 0.500 0.500 Ir
0.233 0.233 0.233 Pd
0.767 0.767 0.767 Pd
```

- DFT formation energy: -0.4111 eV per atom
- Space-group type: R-3m, No. 166
- Spin magnetization: 0.000 μB per atom
- V: 180.5 Å³ per cell
- E: -4.70 eV/atom
- DOS(E_F): 4.2 states/eV/cell

---

No. 8
Ta2H2Ru | PBE | optimized geometry

The structure in POSCAR format:
```
Ta2H2Ru
1.0
5.075 0.000 0.000
-2.354 4.501 0.000
-1.046 -1.689 4.750
Ta H Ru
4 4 2
Direct
0.097 0.410 0.253 Ta
0.255 0.242 0.752 Ta
0.745 0.758 0.248 Ta
0.903 0.590 0.747 Ta
0.137 0.808 0.508 H
0.306 0.637 0.005 H
0.694 0.363 0.995 H
0.863 0.192 0.492 H
0.413 0.085 0.249 Ru
0.587 0.915 0.751 Ru
```

- Space-group type: P-1, No. 2
- Spin magnetization: 0.000 μB per atom
- V: 108.5 Å³ per cell
- ΔE to the lowest computed polymorph: 0.639 kcal/mol of atoms
- E: -8.04 eV/atom
- DOS(E_F): 6.3 states/eV/cell